Record 1
{
  "formula": "Ba2Zn4Sn3Ge",
  "functional": "PBE",
  "state": "optimized geometry",
  "lattice_angstrom": [[-4.116, -1.632, -1.693], [-1.106, -1.668, 4.297], [-4.948, 9.839, 2.546]],
  "species": ["Sn", "Zn", "Zn", "Ba", "Sn", "Ge", "Ba", "Zn", "Sn", "Zn"],
  "fractional_positions": [[0.000, 0.000, 0.500], [0.500, 0.000, 0.629], [0.500, 0.500, 0.000], [0.500, 0.000, 0.247], [0.000, 0.500, 0.130], [0.500, 0.500, 0.500], [0.000, 0.500, 0.753], [0.000, 0.000, 0.000], [0.500, 0.000, 0.870], [0.000, 0.500, 0.371]],
  "delta_e_f_ev_per_fu": -3.89,
  "total_magnetization_mub_per_cell": 0.00,
  "total_energy_ev_per_atom": -2.946
}

---

Record 2
{
  "formula": "Mg2InNi",
  "functional": "PBE",
  "state": "optimized geometry",
  "lattice_angstrom": [[5.078, -0.031, 0.000], [1.665, 4.798, 0.000], [-3.372, -2.383, 2.957]],
  "species": ["In", "Mg", "Ni", "Mg"],
  "fractional_positions": [[0.750, 0.250, 0.500], [0.000, 0.000, 0.000], [0.250, 0.750, 0.500], [0.500, 0.500, 0.000]],
  "delta_e_f_ev_per_fu": -0.21,
  "total_magnetization_mub_per_cell": 0.00,
  "total_energy_ev_per_atom": -2.979
}

---

Record 3
{
  "formula": "Pm5Co2Cl2",
  "functional": "PBE",
  "state": "optimized geometry",
  "lattice_angstrom": [[-5.675, -2.511, -4.588], [-1.441, -5.796, 4.954], [-7.805, 3.164, 1.431]],
  "species": ["Co", "Pm", "Pm", "Pm", "Pm", "Pm", "Pm", "Co", "Pm", "Co", "Cl", "Pm", "Pm", "Cl", "Cl", "Cl", "Co", "Pm"],
  "fractional_positions": [[0.859, 0.637, 0.000], [0.000, 0.000, 0.000], [0.228, 0.152, 0.234], [0.500, 0.500, 0.000], [0.728, 0.348, 0.234], [0.038, 0.652, 0.234], [0.962, 0.348, 0.766], [0.359, 0.863, 0.000], [0.272, 0.652, 0.766], [0.641, 0.137, 0.000], [0.704, 0.500, 0.592], [0.462, 0.152, 0.766], [0.538, 0.848, 0.234], [0.296, 0.500, 0.408], [0.796, 0.000, 0.408], [0.204, 0.000, 0.592], [0.141, 0.363, 0.000], [0.772, 0.848, 0.766]],
  "total_magnetization_mub_per_cell": 0.00,
  "formation_energy_uncorrected_ev_per_atom": -0.64,
  "total_energy_ev_per_atom": -5.269
}

---

Record 4
{
  "formula": "ZnAg8Au5",
  "functional": "PBE",
  "state": "optimized geometry",
  "lattice_angstrom": [[6.994, -0.045, 0.078], [-2.409, 6.566, -0.078], [-2.176, -3.342, 5.746]],
  "species": ["Ag", "Au", "Au", "Ag", "Au", "Ag", "Ag", "Zn", "Ag", "Ag", "Au", "Ag", "Au", "Ag"],
  "fractional_positions": [[0.234, 0.235, 0.339], [0.717, 0.592, 0.540], [0.874, 0.823, 0.283], [0.831, 0.226, 0.402], [0.460, 0.177, 0.051], [0.661, 0.894, 0.896], [0.176, 0.774, 0.605], [0.250, 0.500, 0.750], [0.002, 0.106, 0.766], [0.395, 0.571, 0.169], [0.949, 0.408, 0.126], [0.104, 0.765, 0.998], [0.500, 0.000, 0.500], [0.598, 0.429, 0.824]],
  "delta_e_f_ev_per_fu": 1.02,
  "total_magnetization_mub_per_cell": 0.00,
  "total_energy_ev_per_atom": -2.818
}

---

Record 5
{
  "formula": "PaInHg2",
  "functional": "PBE",
  "state": "optimized geometry",
  "lattice_angstrom": [[-5.096, 0.720, 0.151], [-2.706, 0.172, -4.377], [-3.183, -3.862, -1.212]],
  "species": ["Hg", "Hg", "Pa", "In"],
  "fractional_positions": [[0.750, 0.750, 0.750], [0.250, 0.250, 0.250], [0.000, 0.000, 0.000], [0.500, 0.500, 0.500]],
  "delta_e_f_ev_per_fu": 0.09,
  "total_magnetization_mub_per_cell": 0.00,
  "relative_energy_mev_per_atom": 0,
  "total_energy_ev_per_atom": -3.188
}

---

Record 6
{
  "formula": "Li2SnP2O7",
  "functional": "PBE",
  "state": "optimized geometry",
  "lattice_angstrom": [[-2.008, 3.722, -5.994], [5.005, -5.336, -0.543], [-9.522, -8.792, -2.359]],
  "species": ["O", "P", "O", "O", "O", "O", "O", "O", "Li", "O", "O", "Li", "Li", "O", "O", "O", "O", "O", "O", "Li", "O", "P", "O", "Sn", "O", "P", "O", "O", "Li", "Sn", "P", "Li", "O", "Li", "P", "P", "O", "P", "Sn", "O", "P", "O", "Sn", "Li", "O", "O", "O", "O"],
  "fractional_positions": [[0.143, 0.387, 0.495], [0.915, 0.703, 0.614], [0.613, 0.857, 0.005], [0.106, 0.682, 0.117], [0.411, 0.160, 0.242], [0.093, 0.122, 0.878], [0.293, 0.508, 0.921], [0.840, 0.589, 0.258], [0.284, 0.747, 0.995], [0.707, 0.492, 0.079], [0.232, 0.454, 0.307], [0.716, 0.253, 0.005], [0.747, 0.284, 0.495], [0.894, 0.318, 0.883], [0.492, 0.707, 0.579], [0.851, 0.207, 0.371], [0.907, 0.878, 0.122], [0.589, 0.840, 0.758], [0.878, 0.907, 0.622], [0.261, 0.739, 0.750], [0.207, 0.851, 0.871], [0.653, 0.892, 0.644], [0.793, 0.149, 0.129], [0.344, 0.334, 0.121], [0.768, 0.546, 0.693], [0.703, 0.915, 0.114], [0.160, 0.411, 0.742], [0.857, 0.613, 0.505], [0.720, 0.280, 0.750], [0.656, 0.666, 0.879], [0.892, 0.653, 0.144], [0.739, 0.261, 0.250], [0.122, 0.093, 0.378], [0.280, 0.720, 0.250], [0.347, 0.108, 0.356], [0.297, 0.085, 0.886], [0.508, 0.293, 0.421], [0.085, 0.297, 0.386], [0.334, 0.344, 0.621], [0.454, 0.232, 0.807], [0.108, 0.347, 0.856], [0.149, 0.793, 0.629], [0.666, 0.656, 0.379], [0.253, 0.716, 0.505], [0.546, 0.768, 0.193], [0.387, 0.143, 0.995], [0.682, 0.106, 0.617], [0.318, 0.894, 0.383]],
  "total_magnetization_mub_per_cell": 0.00,
  "formation_energy_uncorrected_ev_per_atom": -2.15,
  "relative_energy_mev_per_atom": 0,
  "total_energy_ev_per_atom": -6.593
}